This record from the Alexandria database describes crystalline K2CdCoAg at its relaxed geometry. The functional is PBE-GGA.

```
K2CdCoAg
1.0
6.134 0.000 0.000
0.000 4.975 0.000
0.000 0.000 6.134
K Co Ag Cd
2 1 1 1
Direct
0.000 0.000 0.500 K
0.500 0.000 0.000 K
0.000 0.000 0.000 Co
0.500 0.500 0.500 Ag
0.000 0.500 0.000 Cd
```

Summary:
- Total DFT energy (no corrections): -1.9868 eV per atom
- Symmetry: P4/mmm (123)
- Magnetization: 1.32 μB per cell